! CuNCl3 GGA-PBE optimized geometry; values from VASP
! raw formation energy	5.081	eV/f.u.
! energy relative to the lowest polymorph listed for this composition	735	meV per atom
&SYSTEM
  ibrav = 0, nat = 5, ntyp = 3
/
ATOMIC_SPECIES
Cu 63.55 Cu.upf
N 14.01 N.upf
Cl 35.45 Cl.upf
ATOMIC_POSITIONS crystal
Cu 0.0000 0.0000 0.0000
N 0.5000 0.5000 0.5000
Cl 0.0000 0.5000 0.5000
Cl 0.5000 0.0000 0.5000
Cl 0.5000 0.5000 0.0000
CELL_PARAMETERS angstrom
4.3969 0.0000 0.0000
0.0000 4.3969 0.0000
0.0000 0.0000 4.3969

***

! PmThU2P4 GGA-PBE optimized geometry; values from VASP
! E	-8.305	eV per atom
&SYSTEM
  ibrav = 0, nat = 8, ntyp = 4
/
ATOMIC_SPECIES
Pm 145.00 Pm.upf
Th 232.04 Th.upf
U 238.03 U.upf
P 30.97 P.upf
ATOMIC_POSITIONS crystal
Pm 0.0000 0.0000 0.0000
Th 0.5000 0.5000 0.0000
U 0.0000 0.5000 0.5000
U 0.5000 0.0000 0.5000
P 0.2445 0.0000 0.7355
P 0.2546 0.5000 0.2650
P 0.7454 0.5000 0.7350
P 0.7555 0.0000 0.2645
CELL_PARAMETERS angstrom
6.9459 0.0000 0.0000
0.0000 4.0092 0.0000
-2.3130 0.0000 6.6826

***

! CeDyU2S4 GGA-PBE optimized geometry; values from VASP
! raw formation energy	-13.476	eV/f.u.
&SYSTEM
  ibrav = 0, nat = 8, ntyp = 4
/
ATOMIC_SPECIES
Ce 140.12 Ce.upf
Dy 162.50 Dy.upf
U 238.03 U.upf
S 32.06 S.upf
ATOMIC_POSITIONS crystal
Ce 0.0000 0.0000 0.0000
Dy 0.5000 0.5000 0.0000
U 0.0000 0.5000 0.5000
U 0.5000 0.0000 0.5000
S 0.2545 0.0000 0.7488
S 0.2570 0.5000 0.2550
S 0.7430 0.5000 0.7450
S 0.7455 0.0000 0.2512
CELL_PARAMETERS angstrom
6.7167 0.0000 0.0000
0.0000 3.8714 0.0000
-2.2310 0.0000 6.5228

***

! TcAg GGA-PBE optimized geometry; values from VASP
! energy relative to the lowest polymorph listed for this composition	0	meV per atom
&SYSTEM
  ibrav = 0, nat = 4, ntyp = 2
/
ATOMIC_SPECIES
Tc 98.00 Tc.upf
Ag 107.87 Ag.upf
ATOMIC_POSITIONS crystal
Tc 0.3333 0.6667 0.3938
Tc 0.6667 0.3333 0.6062
Ag 0.3333 0.6667 0.8673
Ag 0.6667 0.3333 0.1327
CELL_PARAMETERS angstrom
2.8135 0.0000 0.0000
-1.4067 2.4365 0.0000
0.0000 0.0000 9.4180

***

! Zr4TeSe GGA-PBE optimized geometry; values from VASP
! raw formation energy	0.476	eV/f.u.
&SYSTEM
  ibrav = 0, nat = 6, ntyp = 3
/
ATOMIC_SPECIES
Zr 91.22 Zr.upf
Te 127.60 Te.upf
Se 78.96 Se.upf
ATOMIC_POSITIONS crystal
Zr 0.1253 0.1253 0.1253
Zr 0.1253 0.1253 0.6241
Zr 0.1253 0.6241 0.1253
Zr 0.6241 0.1253 0.1253
Te 0.5000 0.5000 0.5000
Se 0.7500 0.7500 0.7500
CELL_PARAMETERS angstrom
0.0000 4.1129 4.1129
4.1129 0.0000 4.1129
4.1129 4.1129 0.0000

***

! TcH2F8 GGA-PBE optimized geometry; values from VASP
! energy relative to the lowest polymorph listed for this composition	0	meV per atom
&SYSTEM
  ibrav = 0, nat = 11, ntyp = 3
/
ATOMIC_SPECIES
Tc 98.00 Tc.upf
H 1.01 H.upf
F 19.00 F.upf
ATOMIC_POSITIONS crystal
Tc 0.0000 0.0000 0.0000
H 0.2540 0.2540 0.4666
H 0.7460 0.7460 0.5334
F 0.1051 0.1051 0.2760
F 0.1250 0.6527 0.1161
F 0.3210 0.3210 0.5883
F 0.3473 0.8750 0.8839
F 0.6527 0.1250 0.1161
F 0.6790 0.6790 0.4117
F 0.8750 0.3473 0.8839
F 0.8949 0.8949 0.7240
CELL_PARAMETERS angstrom
4.8922 -2.7768 0.0000
4.8922 2.7768 0.0000
-0.2198 0.0000 5.8284

***

| no. | calculated density (g/cm³) |
| --- | --- |
| 1 | 3.59 |
| 2 | 8.72 |
| 3 | 8.88 |
| 4 | 10.59 |
| 5 | 6.82 |
| 6 | 2.64 |